1.
Dy5Ho4Tm3 | PBE | relaxed

abc: 5.803 8.489 9.500
angles: 106.03 72.22 70.01
Atoms (fractional coordinates):
Tm: 0.479 0.312 0.731
Dy: 0.788 0.539 0.885
Ho: 0.164 0.051 0.622
Ho: 0.836 0.949 0.378
Dy: 0.372 0.054 0.202
Tm: 0.000 0.500 0.500
Dy: 0.628 0.946 0.798
Dy: 0.212 0.461 0.115
Dy: 0.500 0.500 0.500
Tm: 0.521 0.688 0.269
Ho: 0.141 0.778 0.939
Ho: 0.859 0.222 0.061

Summary:
energy relative to the elements = 246 meV per atom
SG = No. 12
raw total energy = -51.778 eV for the cell shown
polymorph energy (0 for the lowest one) = 226.0 meV per atom
total moment = 0.041 μB per atom

2.
Dy8HoTm6 | PBE | relaxed

abc: 8.921 8.921 8.529
angles: 58.47 58.47 60.00
Atoms (fractional coordinates):
Tm: 0.766 0.460 0.880
Tm: 0.107 0.234 0.120
Dy: 0.745 0.720 0.425
Dy: 0.280 0.890 0.575
Dy: 0.423 0.423 0.730
Dy: 0.255 0.280 0.575
Tm: 0.893 0.766 0.880
Tm: 0.234 0.540 0.120
Ho: 0.000 0.000 0.000
Dy: 0.890 0.255 0.575
Tm: 0.460 0.893 0.880
Dy: 0.720 0.110 0.425
Dy: 0.110 0.745 0.425
Dy: 0.577 0.577 0.270
Tm: 0.540 0.107 0.120

Summary:
energy relative to the elements = 134 meV per atom
SG = No. 148
raw total energy = -66.221 eV for the cell shown
polymorph energy (0 for the lowest one) = 73.1 meV per atom
total moment = 0.000 μB per atom

3.
DyHo3Tm12 | PBE | relaxed

abc: 4.937 4.937 19.746
angles: 90.00 90.00 90.00
Atoms (fractional coordinates):
Tm: 0.500 0.000 0.375
Tm: 0.500 0.000 0.625
Ho: 0.000 0.000 0.750
Dy: 0.000 0.000 0.000
Tm: 0.000 0.500 0.875
Tm: 0.500 0.500 0.000
Tm: 0.000 0.500 0.375
Tm: 0.000 0.500 0.625
Tm: 0.500 0.500 0.750
Ho: 0.000 0.000 0.500
Tm: 0.500 0.000 0.875
Tm: 0.500 0.500 0.500
Tm: 0.500 0.500 0.250
Ho: 0.000 0.000 0.250
Tm: 0.000 0.500 0.125
Tm: 0.500 0.000 0.125

Summary:
energy relative to the elements = 25 meV per atom
SG = No. 123
raw total energy = -71.592 eV for the cell shown
total moment = 0.000 μB per atom

4.
Dy2Ho3Tm3 | PBE | relaxed

abc: 6.373 6.373 6.373
angles: 94.62 94.62 85.38
Atoms (fractional coordinates):
Ho: 0.000 0.235 0.235
Ho: 0.765 0.000 0.765
Tm: 0.733 0.500 0.733
Tm: 0.267 0.733 0.500
Dy: 0.250 0.250 0.750
Ho: 0.235 0.765 0.000
Dy: 0.750 0.750 0.250
Tm: 0.500 0.267 0.267

Summary:
energy relative to the elements = 249 meV per atom
SG = No. 155
raw total energy = -34.364 eV for the cell shown
polymorph energy (0 for the lowest one) = 225.6 meV per atom
total moment = 0.657 μB per atom